{
  "formula": "NdSmHgAu",
  "functional": "GGA-PBE",
  "state": "optimized geometry",
  "crystal_system": "tetragonal",
  "e_above_lowest_polymorph_kj_per_mol_fu": 0,
  "cell": [[3.7528, 0.0000, 0.0000], [0.0000, 3.7528, 0.0000], [0.0000, 0.0000, 7.5234]],
  "species": ["Nd", "Sm", "Hg", "Au"],
  "fractional_positions": [[0.0000, 0.0000, 0.0000], [0.0000, 0.0000, 0.4774], [0.5000, 0.5000, 0.7344], [0.5000, 0.5000, 0.2480]]
}